1.
First-principles (PBE-GGA) data for a geometry-optimized Sc8CS4 structure, as listed in Alexandria via LeMat-Bulk.

Summary:
**Calculated total energy**: -279.08 eV for the cell shown
**Total magnetic moment**: 0.0 μB per cell
**E_form (uncorrected)**: -1280 meV per atom

a b c (Å): 7.0738 7.0738 17.2085
angles (deg): 90.00 90.00 120.00
Space group R-3m (No. 166, hexagonal axes)
One atom of each set of equivalent atoms:
Sc  0.0000  0.0000  0.2473 x6
Sc  0.0192  0.5096  0.2411 x18
C  0.0000  0.0000  0.5000 x3
S  0.0000  0.0000  0.0000 x3
S  0.0000  0.5000  0.0000 x9

2.
First-principles (PBE-GGA) data for a geometry-optimized Sc8CSe4S3 structure, as listed in Alexandria via LeMat-Bulk.

Summary:
**Calculated total energy**: -336.99 eV for the cell shown
**Total magnetic moment**: 0.0 μB per cell
**E_form (uncorrected)**: -1633 meV per atom

a b c (Å): 7.4259 7.4259 18.6795
angles (deg): 90.00 90.00 120.00
Space group R-3m (No. 166, hexagonal axes)
One atom of each set of equivalent atoms:
Sc  0.0000  0.0000  0.2410 x6
Sc  0.0303  0.5151  0.2365 x18
C  0.0000  0.0000  0.5000 x3
Se  0.0000  0.0000  0.0000 x3
Se  0.0000  0.5000  0.0000 x9
S  0.0000  0.5000  0.5000 x9

3.
First-principles (PBE-GGA) data for a geometry-optimized Sc8CSe3S4 structure, as listed in Alexandria via LeMat-Bulk.

Summary:
**Calculated total energy**: -339.02 eV for the cell shown
**Total magnetic moment**: 0.0 μB per cell
**E_form (uncorrected)**: -1635 meV per atom

a b c (Å): 7.4947 7.4947 18.0854
angles (deg): 90.00 90.00 120.00
Space group R-3m (No. 166, hexagonal axes)
One atom of each set of equivalent atoms:
Sc  0.0000  0.0000  0.2414 x6
Sc  0.0423  0.5212  0.7451 x18
C  0.0000  0.0000  0.0000 x3
Se  0.0000  0.5000  0.0000 x9
S  0.0000  0.0000  0.5000 x3
S  0.0000  0.5000  0.5000 x9

4.
First-principles (PBE-GGA) data for a geometry-optimized Sc6CSe3S2 structure, as listed in Alexandria via LeMat-Bulk.

Summary:
**Calculated total energy**: -170.27 eV for the cell shown
**Total magnetic moment**: 0.0 μB per cell
**E_form (uncorrected)**: -1601 meV per atom

a b c (Å): 6.4191 11.0993 6.5473
angles (deg): 90.00 108.99 90.00
Space group C2/m (No. 12)
One atom of each set of equivalent atoms:
Sc  0.2201  0.1502  0.2101 x8
Sc  0.2281  0.0000  0.7856 x4
C  0.0000  0.0000  0.0000 x2
Se  0.0000  0.1730  0.5000 x4
Se  0.0000  0.5000  0.5000 x2
S  0.0000  0.3341  0.0000 x4

5.
First-principles (PBE-GGA) data for a geometry-optimized Sc8Te4CS3 structure, as listed in Alexandria via LeMat-Bulk.

Summary:
**Calculated total energy**: -320.26 eV for the cell shown
**Total magnetic moment**: 0.0 μB per cell
**E_form (uncorrected)**: -1370 meV per atom

a b c (Å): 7.6268 7.6268 19.7722
angles (deg): 90.00 90.00 120.00
Space group R-3m (No. 166, hexagonal axes)
One atom of each set of equivalent atoms:
Sc  0.0000  0.0000  0.2334 x6
Sc  0.0315  0.5158  0.2303 x18
Te  0.0000  0.0000  0.0000 x3
Te  0.0000  0.5000  0.0000 x9
C  0.0000  0.0000  0.5000 x3
S  0.0000  0.5000  0.5000 x9

6.
First-principles (PBE-GGA) data for a geometry-optimized ThScCS structure, as listed in Alexandria via LeMat-Bulk.

Summary:
**Calculated total energy**: -95.21 eV for the cell shown
**Total magnetic moment**: 1.5 μB per cell
**E_form (uncorrected)**: -1158 meV per atom

a b c (Å): 3.6146 3.6146 19.5487
angles (deg): 90.00 90.00 120.00
Space group R3m (No. 160, hexagonal axes)
One atom of each set of equivalent atoms:
Th  0.0000  0.0000  0.0000 x3
Sc  0.0000  0.0000  0.1945 x3
C  0.0000  0.0000  0.5916 x3
S  0.0000  0.0000  0.7753 x3

7.
First-principles (PBE-GGA) data for a geometry-optimized TmScCS structure, as listed in Alexandria via LeMat-Bulk.

Summary:
**Calculated total energy**: -88.19 eV for the cell shown
**Total magnetic moment**: 0.0 μB per cell
**E_form (uncorrected)**: -1311 meV per atom

a b c (Å): 3.5587 3.5587 18.2604
angles (deg): 90.00 90.00 120.00
Space group R3m (No. 160, hexagonal axes)
One atom of each set of equivalent atoms:
Tm  0.0000  0.0000  0.0000 x3
Sc  0.0000  0.0000  0.4727 x3
C  0.0000  0.0000  0.7389 x3
S  0.0000  0.0000  0.2321 x3

8.
First-principles (PBE-GGA) data for a geometry-optimized YScCS structure, as listed in Alexandria via LeMat-Bulk.

Summary:
**Calculated total energy**: -93.73 eV for the cell shown
**Total magnetic moment**: 0.0 μB per cell
**E_form (uncorrected)**: -1274 meV per atom

a b c (Å): 3.5964 3.5964 18.4357
angles (deg): 90.00 90.00 120.00
Space group R3m (No. 160, hexagonal axes)
One atom of each set of equivalent atoms:
Y  0.0000  0.0000  0.0000 x3
Sc  0.0000  0.0000  0.5267 x3
C  0.0000  0.0000  0.2597 x3
S  0.0000  0.0000  0.7694 x3